# Cs2NaSeO4

A geometry-optimized Cs2NaSeO4 structure (GGA-PBE, Alexandria via LeMat-Bulk).

The structure belongs to space group Fddd (No. 70, origin choice 2); the cell edges are 5.646, 12.670 and 22.633 Å and the angles 90.00°, 90.00° and 90.00°. The asymmetric unit holds Cs at (0.125, 0.125, 0.302), Na at (0.125, 0.125, 0.125), Se at (0.125, 0.125, 0.625) and O at (0.068, 0.290, 0.833).

Its formation energy from raw total energies is -1151 meV per atom. As for the total energy: -4.4442 eV per atom.